Compound: LaThPdPt
Source: Alexandria
Functional: PBE
Structure: optimized geometry

Results
distance to the lowest polymorph of the same formula: 0 meV/atom
energy of formation from the pure elements: -4.052 eV per formula unit
N(E_F): 2.9 states/eV/cell

Cell: 4.472 6.076 6.076 Å, 37.59 90.00 90.00°
Sites, in units of the cell vectors:
1 La 0.000 0.000 0.000
2 Th 0.500 0.270 0.270
3 Pd 0.500 0.549 0.549
4 Pt 0.000 0.735 0.735